P2PbSCl PBE optimized geometry; final energy = -3.61 eV/atom; SG = P4/mmm, No. 123; D(E_F) = 0.5879 states/eV per atom; polymorph energy (0 for the lowest one) = 0.00 eV/f.u.
1.0
4.647 0.000 0.000
0.000 4.647 0.000
0.000 0.000 5.040
P Pb S Cl
2 1 1 1
Cartesian
0.000 2.323 0.000
2.323 0.000 0.000
0.000 0.000 2.520
2.323 2.323 0.000
2.323 2.323 2.520

---

Ba2ErGaSe5 PBE optimized geometry; final energy = -4.85 eV/atom; SG = Cmc2_1, No. 36; polymorph energy (0 for the lowest one) = 0.03 eV/f.u.
1.0
2.108 -9.599 0.000
2.108 9.599 0.000
0.000 0.000 13.428
Ba Er Ga Se
4 2 2 10
Cartesian
2.108 7.260 6.714
2.108 7.163 1.853
2.108 -7.163 8.567
2.108 -7.260 0.000
2.108 5.648 11.277
2.108 -5.648 4.562
2.108 1.175 3.270
2.108 -1.175 9.984
2.108 8.666 11.385
2.108 3.910 6.436
2.108 3.570 2.555
2.108 2.912 11.023
2.108 0.013 1.189
2.108 -0.013 7.903
2.108 -2.912 4.309
2.108 -3.570 9.270
2.108 -3.910 13.150
2.108 -8.666 4.671

---

CsNa3In PBE optimized geometry; final energy = -0.86 eV/atom; calculated formation energy = 0.653 eV/atom; SG = Pm-3m, No. 221; D(E_F) = 0.9121 states/eV per atom; polymorph energy (0 for the lowest one) = 3.35 eV/f.u.
1.0
6.743 0.000 0.000
0.000 6.743 0.000
0.000 0.000 6.743
Cs Na In
1 3 1
Cartesian
0.000 0.000 0.000
0.000 0.000 3.371
0.000 3.371 0.000
3.371 0.000 0.000
3.371 3.371 3.371

---

Mass density
In order: 5.14 5.54 1.72
Unit: g/cm³